Density functional theory data (PBE) for a geometry-optimized PuMnFeGe structure.

**Total moment**: 5.4 μB/cell
**Crystal system**: cubic
**DFT total energy**: -148.17 eV for the cell shown

a b c (Å): 6.2335 6.2335 6.2335
angles (deg): 90.00 90.00 90.00
Space group F-43m (No. 216)
Symmetry-distinct sites (fractional):
Pu 0.0000 0.0000 0.0000
Mn 0.2500 0.2500 0.7500
Fe 0.2500 0.2500 0.2500
Ge 0.0000 0.0000 0.5000